Density functional theory data (PBE) for a relaxed Pm6Nd2Sm3 crystal.

Results
* formation enthalpy at 0 K: 2.9 eV/f.u.
* relative energy among the computed polymorphs: 0.2509 eV/atom
* Fermi-level density of states: 32.98 states/eV per cell
* density: 6.7 g cm⁻³

abc: 4.831 4.831 34.016
angles: 90.00 90.00 90.00
Space group I4/mmm (No. 139)
Inequivalent atoms, fractional coordinates:
Pm 0.000 0.000 0.199
Pm 0.000 0.500 0.121
Nd 0.000 0.000 0.045
Sm 0.000 0.000 0.300
Sm 0.000 0.000 0.500


Density functional theory data (PBE) for a relaxed Fe2HPdAu crystal.

Results
* relative energy among the computed polymorphs: 0.0960 eV/atom
* Fermi-level density of states: 3.97 states/eV per cell
* density: 11.5 g cm⁻³

abc: 3.850 3.850 4.064
angles: 90.00 90.00 90.00
Space group P4/mmm (No. 123)
Inequivalent atoms, fractional coordinates:
Fe 0.000 0.500 0.000
H 0.000 0.000 0.000
Pd 0.500 0.500 0.500
Au 0.000 0.000 0.500


Density functional theory data (PBE) for a relaxed PmPrCuSb crystal.

Results
* VASP energy: -4.9463 eV/atom
* Fermi-level density of states: 13.48 states/eV per cell
* density: 7.4 g cm⁻³

abc: 7.495 7.495 7.495
angles: 90.00 90.00 90.00
Space group F-43m (No. 216)
Inequivalent atoms, fractional coordinates:
Pm 0.000 0.000 0.000
Pr 0.000 0.000 0.500
Cu 0.250 0.250 0.250
Sb 0.250 0.250 0.750


Density functional theory data (PBE) for a relaxed Rb2TcW crystal.

Results
* formation enthalpy at 0 K: 12.7 eV/f.u.
* relative energy among the computed polymorphs: 1.4553 eV/atom
* Fermi-level density of states: 45.22 states/eV per cell
* density: 7.0 g cm⁻³

abc: 7.534 7.534 7.534
angles: 90.00 90.00 90.00
Space group Fm-3m (No. 225)
Inequivalent atoms, fractional coordinates:
Rb 0.250 0.250 0.250
Tc 0.000 0.000 0.000
W 0.000 0.000 0.500